P | # MnRu4 | Alexandria via LeMat-Bulk | PBE | optimized geometry
# mass density = 9.447 g cm⁻³
# Fermi-level density of states = 6.30 states/eV/cell
# symmetry = I4/mmm (139)
# total magnetization = 3.66 μB per cell
data_MnRu4
_symmetry_space_group_name_H-M 'P 1'
_symmetry_Int_Tables_number 1
_cell_length_a 6.293
_cell_length_b 6.293
_cell_length_c 6.293
_cell_angle_alpha 145.22
_cell_angle_beta 145.22
_cell_angle_gamma 50.01
loop_
_symmetry_equiv_pos_as_xyz
'x,y,z'
loop_
_atom_site_label
_atom_site_fract_x
_atom_site_fract_y
_atom_site_fract_z
Mn1 0.000 0.000 0.000
Ru1 0.250 0.750 0.500
Ru2 0.399 0.399 0.000
Ru3 0.601 0.601 0.000
Ru4 0.750 0.250 0.500

---

Q | # MnRu4 | Alexandria via LeMat-Bulk | PBE | optimized geometry
# mass density = 9.290 g cm⁻³
# Fermi-level density of states = 9.56 states/eV/cell
# symmetry = Pm-3m (221)
# total magnetization = 3.18 μB per cell
data_MnRu4
_symmetry_space_group_name_H-M 'P 1'
_symmetry_Int_Tables_number 1
_cell_length_a 4.346
_cell_length_b 4.346
_cell_length_c 4.346
_cell_angle_alpha 90.00
_cell_angle_beta 90.00
_cell_angle_gamma 90.00
loop_
_symmetry_equiv_pos_as_xyz
'x,y,z'
loop_
_atom_site_label
_atom_site_fract_x
_atom_site_fract_y
_atom_site_fract_z
Mn1 0.000 0.000 0.000
Ru1 0.000 0.000 0.500
Ru2 0.000 0.500 0.000
Ru3 0.500 0.000 0.000
Ru4 0.500 0.500 0.500

---

R | # MnRu4 | Alexandria via LeMat-Bulk | PBE | optimized geometry
# mass density = 11.170 g cm⁻³
# Fermi-level density of states = 5.87 states/eV/cell
# symmetry = I4/m (87)
# total magnetization = 1.43 μB per cell
data_MnRu4
_symmetry_space_group_name_H-M 'P 1'
_symmetry_Int_Tables_number 1
_cell_length_a 4.651
_cell_length_b 4.651
_cell_length_c 4.651
_cell_angle_alpha 99.51
_cell_angle_beta 99.51
_cell_angle_gamma 132.03
loop_
_symmetry_equiv_pos_as_xyz
'x,y,z'
loop_
_atom_site_label
_atom_site_fract_x
_atom_site_fract_y
_atom_site_fract_z
Mn1 0.000 0.000 0.000
Ru1 0.200 0.403 0.603
Ru2 0.403 0.800 0.203
Ru3 0.597 0.200 0.797
Ru4 0.800 0.597 0.397

---

Of them, Q has the lowest stability.

---

P | # MnRuS | Alexandria via LeMat-Bulk | PBE | optimized geometry
# mass density = 7.790 g cm⁻³
# Fermi-level density of states = 2.99 states/eV/cell
# symmetry = Amm2 (38)
# total magnetization = 0.94 μB per cell
data_MnRuS
_symmetry_space_group_name_H-M 'P 1'
_symmetry_Int_Tables_number 1
_cell_length_a 3.642
_cell_length_b 4.042
_cell_length_c 4.042
_cell_angle_alpha 42.37
_cell_angle_beta 90.00
_cell_angle_gamma 90.00
loop_
_symmetry_equiv_pos_as_xyz
'x,y,z'
loop_
_atom_site_label
_atom_site_fract_x
_atom_site_fract_y
_atom_site_fract_z
Mn1 0.000 0.000 0.000
Ru1 0.500 0.706 0.706
S1 0.000 0.286 0.286

---

Q | # MnRuS | Alexandria via LeMat-Bulk | PBE | optimized geometry
# mass density = 8.455 g cm⁻³
# Fermi-level density of states = 3.30 states/eV/cell
# symmetry = P-6m2 (187)
# total magnetization = 0.04 μB per cell
data_MnRuS
_symmetry_space_group_name_H-M 'P 1'
_symmetry_Int_Tables_number 1
_cell_length_a 3.842
_cell_length_b 3.842
_cell_length_c 2.890
_cell_angle_alpha 90.00
_cell_angle_beta 90.00
_cell_angle_gamma 120.00
loop_
_symmetry_equiv_pos_as_xyz
'x,y,z'
loop_
_atom_site_label
_atom_site_fract_x
_atom_site_fract_y
_atom_site_fract_z
Mn1 0.000 0.000 0.000
Ru1 0.667 0.333 0.500
S1 0.333 0.667 0.000

---

Of them, P has the lowest stability.

---

P | # MnRuS | Alexandria via LeMat-Bulk | PBE | optimized geometry
# mass density = 7.654 g cm⁻³
# Fermi-level density of states = 2.54 states/eV/cell
# symmetry = Pmm2 (25)
# total magnetization = 0.00 μB per cell
data_MnRuS
_symmetry_space_group_name_H-M 'P 1'
_symmetry_Int_Tables_number 1
_cell_length_a 2.826
_cell_length_b 2.831
_cell_length_c 5.100
_cell_angle_alpha 90.00
_cell_angle_beta 90.00
_cell_angle_gamma 90.00
loop_
_symmetry_equiv_pos_as_xyz
'x,y,z'
loop_
_atom_site_label
_atom_site_fract_x
_atom_site_fract_y
_atom_site_fract_z
Mn1 0.000 0.000 0.000
Ru1 0.500 0.500 0.688
S1 0.500 0.000 0.326

---

Q | # MnRuS | Alexandria via LeMat-Bulk | PBE | optimized geometry
# mass density = 7.806 g cm⁻³
# Fermi-level density of states = 3.33 states/eV/cell
# symmetry = P4mm (99)
# total magnetization = 0.00 μB per cell
data_MnRuS
_symmetry_space_group_name_H-M 'P 1'
_symmetry_Int_Tables_number 1
_cell_length_a 2.759
_cell_length_b 2.759
_cell_length_c 5.257
_cell_angle_alpha 90.00
_cell_angle_beta 90.00
_cell_angle_gamma 90.00
loop_
_symmetry_equiv_pos_as_xyz
'x,y,z'
loop_
_atom_site_label
_atom_site_fract_x
_atom_site_fract_y
_atom_site_fract_z
Mn1 0.000 0.000 0.000
Ru1 0.500 0.500 0.318
S1 0.500 0.500 0.759

---

R | # MnRuS | Alexandria via LeMat-Bulk | PBE | optimized geometry
# mass density = 7.798 g cm⁻³
# Fermi-level density of states = 3.54 states/eV/cell
# symmetry = R3m (160)
# total magnetization = 0.92 μB per cell
data_MnRuS
_symmetry_space_group_name_H-M 'P 1'
_symmetry_Int_Tables_number 1
_cell_length_a 6.001
_cell_length_b 6.001
_cell_length_c 6.001
_cell_angle_alpha 27.28
_cell_angle_beta 27.28
_cell_angle_gamma 27.28
loop_
_symmetry_equiv_pos_as_xyz
'x,y,z'
loop_
_atom_site_label
_atom_site_fract_x
_atom_site_fract_y
_atom_site_fract_z
Mn1 0.000 0.000 0.000
Ru1 0.451 0.451 0.451
S1 0.582 0.582 0.582

---

S | # MnRuS | Alexandria via LeMat-Bulk | PBE | optimized geometry
# mass density = 7.699 g cm⁻³
# Fermi-level density of states = 3.33 states/eV/cell
# symmetry = Cm (8)
# total magnetization = 0.02 μB per cell
data_MnRuS
_symmetry_space_group_name_H-M 'P 1'
_symmetry_Int_Tables_number 1
_cell_length_a 3.860
_cell_length_b 3.860
_cell_length_c 4.292
_cell_angle_alpha 111.12
_cell_angle_beta 111.12
_cell_angle_gamma 43.49
loop_
_symmetry_equiv_pos_as_xyz
'x,y,z'
loop_
_atom_site_label
_atom_site_fract_x
_atom_site_fract_y
_atom_site_fract_z
Mn1 0.000 0.000 0.000
Ru1 0.372 0.372 0.420
S1 0.248 0.248 0.832

---

Of them, S has the lowest stability.

---

P | # MnRuS | Alexandria via LeMat-Bulk | PBE | optimized geometry
# mass density = 7.861 g cm⁻³
# Fermi-level density of states = 2.97 states/eV/cell
# symmetry = P3m1 (156)
# total magnetization = 0.44 μB per cell
data_MnRuS
_symmetry_space_group_name_H-M 'P 1'
_symmetry_Int_Tables_number 1
_cell_length_a 2.822
_cell_length_b 2.822
_cell_length_c 5.760
_cell_angle_alpha 90.00
_cell_angle_beta 90.00
_cell_angle_gamma 120.00
loop_
_symmetry_equiv_pos_as_xyz
'x,y,z'
loop_
_atom_site_label
_atom_site_fract_x
_atom_site_fract_y
_atom_site_fract_z
Mn1 0.000 0.000 0.000
Ru1 0.333 0.667 0.657
S1 0.333 0.667 0.253

---

Q | # MnRuS | Alexandria via LeMat-Bulk | PBE | optimized geometry
# mass density = 7.544 g cm⁻³
# Fermi-level density of states = 1.84 states/eV/cell
# symmetry = Pm (6)
# total magnetization = 3.07 μB per cell
data_MnRuS
_symmetry_space_group_name_H-M 'P 1'
_symmetry_Int_Tables_number 1
_cell_length_a 3.505
_cell_length_b 3.107
_cell_length_c 4.183
_cell_angle_alpha 90.00
_cell_angle_beta 114.66
_cell_angle_gamma 90.00
loop_
_symmetry_equiv_pos_as_xyz
'x,y,z'
loop_
_atom_site_label
_atom_site_fract_x
_atom_site_fract_y
_atom_site_fract_z
Mn1 0.000 0.000 0.000
Ru1 0.699 0.500 0.400
S1 0.394 0.500 0.791

---

R | # MnRuS | Alexandria via LeMat-Bulk | PBE | optimized geometry
# mass density = 7.334 g cm⁻³
# Fermi-level density of states = 4.59 states/eV/cell
# symmetry = Pmmn (59)
# total magnetization = 5.21 μB per cell
data_MnRuS
_symmetry_space_group_name_H-M 'P 1'
_symmetry_Int_Tables_number 1
_cell_length_a 2.997
_cell_length_b 4.552
_cell_length_c 6.242
_cell_angle_alpha 90.00
_cell_angle_beta 90.00
_cell_angle_gamma 90.00
loop_
_symmetry_equiv_pos_as_xyz
'x,y,z'
loop_
_atom_site_label
_atom_site_fract_x
_atom_site_fract_y
_atom_site_fract_z
Mn1 0.250 0.250 0.205
Mn2 0.750 0.750 0.795
Ru1 0.250 0.750 0.456
Ru2 0.750 0.250 0.544
S1 0.250 0.750 0.091
S2 0.750 0.250 0.909

---

S | # MnRuS | Alexandria via LeMat-Bulk | PBE | optimized geometry
# mass density = 8.599 g cm⁻³
# Fermi-level density of states = 2.79 states/eV/cell
# symmetry = I4mm (107)
# total magnetization = 0.00 μB per cell
data_MnRuS
_symmetry_space_group_name_H-M 'P 1'
_symmetry_Int_Tables_number 1
_cell_length_a 4.993
_cell_length_b 4.993
_cell_length_c 4.993
_cell_angle_alpha 147.23
_cell_angle_beta 147.23
_cell_angle_gamma 47.02
loop_
_symmetry_equiv_pos_as_xyz
'x,y,z'
loop_
_atom_site_label
_atom_site_fract_x
_atom_site_fract_y
_atom_site_fract_z
Mn1 0.000 0.000 0.000
Ru1 0.304 0.304 0.000
S1 0.633 0.633 0.000

---

Of them, S has the lowest stability.

---

P | # MnRuS | Alexandria via LeMat-Bulk | PBE | optimized geometry
# mass density = 7.359 g cm⁻³
# Fermi-level density of states = 2.92 states/eV/cell
# symmetry = Pm (6)
# total magnetization = 0.00 μB per cell
data_MnRuS
_symmetry_space_group_name_H-M 'P 1'
_symmetry_Int_Tables_number 1
_cell_length_a 2.762
_cell_length_b 2.792
_cell_length_c 5.660
_cell_angle_alpha 90.00
_cell_angle_beta 103.55
_cell_angle_gamma 90.00
loop_
_symmetry_equiv_pos_as_xyz
'x,y,z'
loop_
_atom_site_label
_atom_site_fract_x
_atom_site_fract_y
_atom_site_fract_z
Mn1 0.000 0.000 0.000
Ru1 0.637 0.500 0.286
S1 0.848 0.500 0.699

---

Q | # MnRuS | Alexandria via LeMat-Bulk | PBE | optimized geometry
# mass density = 7.587 g cm⁻³
# Fermi-level density of states = 3.00 states/eV/cell
# symmetry = R3m (160)
# total magnetization = 2.63 μB per cell
data_MnRuS
_symmetry_space_group_name_H-M 'P 1'
_symmetry_Int_Tables_number 1
_cell_length_a 5.301
_cell_length_b 5.301
_cell_length_c 5.301
_cell_angle_alpha 33.84
_cell_angle_beta 33.84
_cell_angle_gamma 33.84
loop_
_symmetry_equiv_pos_as_xyz
'x,y,z'
loop_
_atom_site_label
_atom_site_fract_x
_atom_site_fract_y
_atom_site_fract_z
Mn1 0.000 0.000 0.000
Ru1 0.804 0.804 0.804
S1 0.239 0.239 0.239

---

Of them, P has the lowest stability.

---

P | # MnRuS2 | Alexandria via LeMat-Bulk | PBE | optimized geometry
# mass density = 4.536 g cm⁻³
# Fermi-level density of states = 1.39 states/eV/cell
# symmetry = Pm (6)
# total magnetization = 1.71 μB per cell
data_MnRuS2
_symmetry_space_group_name_H-M 'P 1'
_symmetry_Int_Tables_number 1
_cell_length_a 3.776
_cell_length_b 3.771
_cell_length_c 5.660
_cell_angle_alpha 90.00
_cell_angle_beta 90.51
_cell_angle_gamma 90.00
loop_
_symmetry_equiv_pos_as_xyz
'x,y,z'
loop_
_atom_site_label
_atom_site_fract_x
_atom_site_fract_y
_atom_site_fract_z
Mn1 0.000 0.000 0.000
Ru1 0.500 0.500 0.001
S1 0.003 0.500 0.233
S2 0.497 0.000 0.768

---

Q | # MnRuS2 | Alexandria via LeMat-Bulk | PBE | optimized geometry
# mass density = 7.341 g cm⁻³
# Fermi-level density of states = 4.43 states/eV/cell
# symmetry = Fm-3m (225)
# total magnetization = 0.00 μB per cell
data_MnRuS2
_symmetry_space_group_name_H-M 'P 1'
_symmetry_Int_Tables_number 1
_cell_length_a 4.129
_cell_length_b 4.129
_cell_length_c 4.129
_cell_angle_alpha 60.00
_cell_angle_beta 60.00
_cell_angle_gamma 60.00
loop_
_symmetry_equiv_pos_as_xyz
'x,y,z'
loop_
_atom_site_label
_atom_site_fract_x
_atom_site_fract_y
_atom_site_fract_z
Mn1 0.000 0.000 0.000
Ru1 0.500 0.500 0.500
S1 0.250 0.250 0.250
S2 0.750 0.750 0.750

---

Of them, Q has the lowest stability.